# LiCdF3

An optimized crystal structure of LiCdF3 (PBE-GGA, Alexandria via LeMat-Bulk).

Unit cell a=3.750 b=3.750 c=3.750 alpha=90.00 beta=90.00 gamma=90.00
Fractional positions:
1 Li 0.000 0.000 0.000
2 F 0.000 0.500 0.000
3 F 0.000 0.000 0.500
4 F 0.500 0.000 0.000
5 Cd 0.500 0.500 0.500

## Properties
ΔE_f (raw)   -1096.5 kJ/mol of formula units
Symmetry   Pm-3m, No. 221
Energy above the most stable polymorph in this dataset   0.193 eV/atom